1.
DFT (PBE-GGA) results for crystalline LuBeRh2 at its relaxed geometry.

Cell and atoms, written as CIF:
```
data_LuBeRh2
_cell_length_a 4.2155
_cell_length_b 4.2155
_cell_length_c 3.3638
_cell_angle_alpha 90.00
_cell_angle_beta 90.00
_cell_angle_gamma 90.00
_symmetry_space_group_name_H-M 'P 4/m m m'
_symmetry_Int_Tables_number 123
_symmetry_space_group_name_Hall '-P 4 2'
loop_
_atom_site_label
_atom_site_type_symbol
_atom_site_fract_x
_atom_site_fract_y
_atom_site_fract_z
Lu1 Lu 0.0000 0.0000 0.0000
Be1 Be 0.5000 0.5000 0.0000
Rh1 Rh 0.0000 0.5000 0.5000
```

Calculated values
Energy relative to the elements   -0.63 eV per atom
Mass density   10.8 g/cm³
Fermi-level density of states   0.480 states/eV per atom



2.
DFT (PBE-GGA) results for crystalline DyErGaRu at its relaxed geometry.

Cell and atoms, written as CIF:
```
data_DyErGaRu
_cell_length_a 6.9416
_cell_length_b 6.9416
_cell_length_c 6.9416
_cell_angle_alpha 90.00
_cell_angle_beta 90.00
_cell_angle_gamma 90.00
_symmetry_space_group_name_H-M 'F -4 3 m'
_symmetry_Int_Tables_number 216
_symmetry_space_group_name_Hall 'F -4 2 3'
loop_
_atom_site_label
_atom_site_type_symbol
_atom_site_fract_x
_atom_site_fract_y
_atom_site_fract_z
Dy1 Dy 0.0000 0.0000 0.0000
Er1 Er 0.0000 0.0000 0.5000
Ga1 Ga 0.2500 0.2500 0.2500
Ru1 Ru 0.2500 0.2500 0.7500
```

Calculated values
Energy relative to the elements   -0.47 eV per atom
Energy relative to the lowest polymorph listed for this composition   26 meV per atom
Mass density   9.9 g/cm³
Fermi-level density of states   0.566 states/eV per atom



3.
DFT (PBE-GGA) results for crystalline SrGa4 at its relaxed geometry.

Cell and atoms, written as CIF:
```
data_SrGa4
_cell_length_a 5.8625
_cell_length_b 5.8625
_cell_length_c 5.8625
_cell_angle_alpha 90.00
_cell_angle_beta 90.00
_cell_angle_gamma 90.00
_symmetry_space_group_name_H-M 'P m -3 m'
_symmetry_Int_Tables_number 221
_symmetry_space_group_name_Hall '-P 4 2 3'
loop_
_atom_site_label
_atom_site_type_symbol
_atom_site_fract_x
_atom_site_fract_y
_atom_site_fract_z
Sr1 Sr 0.0000 0.0000 0.0000
Ga1 Ga 0.0000 0.0000 0.5000
Ga2 Ga 0.5000 0.5000 0.5000
```

Calculated values
Energy relative to the elements   0.88 eV per atom
Mass density   3.0 g/cm³
Fermi-level density of states   1.044 states/eV per atom



4.
DFT (PBE-GGA) results for crystalline BaNdOsO6 at its relaxed geometry.

Cell and atoms, written as CIF:
```
data_BaNdOsO6
_cell_length_a 5.7646
_cell_length_b 5.7646
_cell_length_c 5.5601
_cell_angle_alpha 90.00
_cell_angle_beta 90.00
_cell_angle_gamma 120.00
_symmetry_space_group_name_H-M 'P 3 1 2'
_symmetry_Int_Tables_number 149
loop_
_symmetry_equiv_pos_as_xyz
'x,y,z'
'-y,x-y,z'
'-x+y,-x,z'
'-y,-x,-z'
'-x+y,y,-z'
'x,x-y,-z'
loop_
_atom_site_label
_atom_site_type_symbol
_atom_site_fract_x
_atom_site_fract_y
_atom_site_fract_z
Ba1 Ba 0.0000 0.0000 0.0000
Nd1 Nd 0.3333 0.6667 0.5000
Os1 Os 0.6667 0.3333 0.5000
O1 O 0.4003 0.0555 0.6971
```

Calculated values
Mass density   5.9 g/cm³
Fermi-level density of states   0.598 states/eV per atom
E_form (uncorrected)   -2.06 eV per atom



5.
DFT (PBE-GGA) results for crystalline TcTe3P at its relaxed geometry.

Cell and atoms, written as CIF:
```
data_TcTe3P
_cell_length_a 5.1651
_cell_length_b 5.1651
_cell_length_c 5.1651
_cell_angle_alpha 90.00
_cell_angle_beta 90.00
_cell_angle_gamma 90.00
_symmetry_space_group_name_H-M 'P m -3 m'
_symmetry_Int_Tables_number 221
_symmetry_space_group_name_Hall '-P 4 2 3'
loop_
_atom_site_label
_atom_site_type_symbol
_atom_site_fract_x
_atom_site_fract_y
_atom_site_fract_z
Tc1 Tc 0.0000 0.0000 0.0000
Te1 Te 0.0000 0.0000 0.5000
P1 P 0.5000 0.5000 0.5000
```

Calculated values
Energy relative to the lowest polymorph listed for this composition   0 meV per atom
Mass density   6.2 g/cm³
Fermi-level density of states   1.170 states/eV per atom
E_form (uncorrected)   0.85 eV per atom



6.
DFT (PBE-GGA) results for crystalline Ac2CdIrO8 at its relaxed geometry.

Cell and atoms, written as CIF:
```
data_Ac2CdIrO8
_cell_length_a 4.2710
_cell_length_b 5.5740
_cell_length_c 7.3979
_cell_angle_alpha 85.88
_cell_angle_beta 89.30
_cell_angle_gamma 85.61
_symmetry_space_group_name_H-M 'P -1'
_symmetry_Int_Tables_number 2
loop_
_symmetry_equiv_pos_as_xyz
'x,y,z'
'-x,-y,-z'
loop_
_atom_site_label
_atom_site_type_symbol
_atom_site_fract_x
_atom_site_fract_y
_atom_site_fract_z
Ac1 Ac 0.1961 0.0076 0.2464
Cd1 Cd 0.5000 0.5000 0.0000
Ir1 Ir 0.5000 0.5000 0.5000
O1 O 0.2373 0.7790 0.5549
O2 O 0.2502 0.4593 0.2916
O3 O 0.2720 0.2889 0.6547
O4 O 0.2724 0.8398 0.9427
```

Calculated values
Mass density   8.4 g/cm³
Fermi-level density of states   0.421 states/eV per atom
E_form (uncorrected)   -1.75 eV per atom



7.
DFT (PBE-GGA) results for crystalline DyEr2Zn3 at its relaxed geometry.

Cell and atoms, written as CIF:
```
data_DyEr2Zn3
_cell_length_a 5.0176
_cell_length_b 5.0176
_cell_length_c 6.1524
_cell_angle_alpha 90.00
_cell_angle_beta 90.00
_cell_angle_gamma 120.00
_symmetry_space_group_name_H-M 'P -3 m 1'
_symmetry_Int_Tables_number 164
_symmetry_space_group_name_Hall '-P 3 2"'
loop_
_atom_site_label
_atom_site_type_symbol
_atom_site_fract_x
_atom_site_fract_y
_atom_site_fract_z
Dy1 Dy 0.0000 0.0000 0.0000
Er1 Er 0.3333 0.6667 0.6642
Zn1 Zn 0.0000 0.0000 0.5000
Zn2 Zn 0.3333 0.6667 0.1662
```

Calculated values
Energy relative to the elements   -0.35 eV per atom
Mass density   8.6 g/cm³
Fermi-level density of states   1.109 states/eV per atom



8.
DFT (PBE-GGA) results for crystalline CaTe2P at its relaxed geometry.

Cell and atoms, written as CIF:
```
data_CaTe2P
_cell_length_a 4.1526
_cell_length_b 4.1526
_cell_length_c 6.0852
_cell_angle_alpha 90.00
_cell_angle_beta 90.00
_cell_angle_gamma 90.00
_symmetry_space_group_name_H-M 'P 4/m m m'
_symmetry_Int_Tables_number 123
_symmetry_space_group_name_Hall '-P 4 2'
loop_
_atom_site_label
_atom_site_type_symbol
_atom_site_fract_x
_atom_site_fract_y
_atom_site_fract_z
Ca1 Ca 0.0000 0.0000 0.0000
Te1 Te 0.5000 0.5000 0.2557
P1 P 0.0000 0.0000 0.5000
```

Calculated values
Mass density   5.2 g/cm³
Fermi-level density of states   0.433 states/eV per atom
E_form (uncorrected)   -0.21 eV per atom